# Ac5NiAu2N

A relaxed structure of Ac5NiAu2N (PBE, the Alexandria database).

E_form (uncorrected) ... -0.660 eV per atom

abc: 4.218 19.016 13.927
angles: 90.00 90.00 90.00
Space group Cmc2_1 (No. 36)
Unique sites:
Ac1 0.000 0.004 0.000 [4 per cell]
Ac2 0.000 0.144 0.232 [4 per cell]
Ac3 0.000 0.184 0.603 [4 per cell]
Ac4 0.000 0.212 0.896 [4 per cell]
Ac5 0.000 0.458 0.240 [4 per cell]
Ni1 0.000 0.295 0.251 [4 per cell]
Au1 0.000 0.367 0.551 [4 per cell]
Au2 0.000 0.387 0.910 [4 per cell]
N1 0.000 0.056 0.650 [4 per cell]



# AcNi2Au2N

A relaxed structure of AcNi2Au2N (PBE, the Alexandria database).

E_form (uncorrected) ... -0.348 eV per atom

abc: 4.037 4.037 13.519
angles: 90.00 90.00 90.00
Space group I4/mmm (No. 139)
Unique sites:
Ac1 0.000 0.000 0.000 [2 per cell]
Ni1 0.000 0.000 0.371 [4 per cell]
Au1 0.000 0.500 0.250 [4 per cell]
N1 0.000 0.000 0.500 [2 per cell]



# Ac6NiAu2N

A relaxed structure of Ac6NiAu2N (PBE, the Alexandria database).

E_form (uncorrected) ... -0.582 eV per atom

abc: 7.179 7.896 12.957
angles: 90.00 121.87 90.00
Space group P2_1/c (No. 14)
Unique sites:
Ac1 0.111 0.206 0.443 [4 per cell]
Ac2 0.249 0.677 0.437 [4 per cell]
Ac3 0.370 0.031 0.238 [4 per cell]
Ni1 0.500 0.000 0.500 [2 per cell]
Au1 0.180 0.100 0.737 [4 per cell]
N1 0.000 0.000 0.000 [2 per cell]



# Ac2NiAuN

A relaxed structure of Ac2NiAuN (PBE, the Alexandria database).

E_form (uncorrected) ... -0.722 eV per atom

abc: 6.896 4.117 8.727
angles: 90.00 109.91 90.00
Space group P2_1/m (No. 11)
Unique sites:
Ac1 0.208 0.250 0.388 [2 per cell]
Ac2 0.221 0.250 0.966 [2 per cell]
Ni1 0.454 0.750 0.245 [2 per cell]
Au1 0.306 0.750 0.698 [2 per cell]
N1 0.162 0.750 0.169 [2 per cell]



# Ac6OsAu2N

A relaxed structure of Ac6OsAu2N (PBE, the Alexandria database).

E_form (uncorrected) ... -0.532 eV per atom

abc: 7.262 7.978 13.058
angles: 90.00 122.95 90.00
Space group P2_1/c (No. 14)
Unique sites:
Ac1 0.111 0.199 0.443 [4 per cell]
Ac2 0.246 0.681 0.438 [4 per cell]
Ac3 0.367 0.029 0.242 [4 per cell]
Os1 0.500 0.000 0.500 [2 per cell]
Au1 0.191 0.100 0.741 [4 per cell]
N1 0.000 0.000 0.000 [2 per cell]



# Ac5PAu2N

A relaxed structure of Ac5PAu2N (PBE, the Alexandria database).

E_form (uncorrected) ... -0.888 eV per atom

abc: 4.258 19.924 13.630
angles: 90.00 90.00 90.00
Space group Cmc2_1 (No. 36)
Unique sites:
Ac1 0.000 0.002 0.000 [4 per cell]
Ac2 0.000 0.148 0.234 [4 per cell]
Ac3 0.000 0.176 0.587 [4 per cell]
Ac4 0.000 0.197 0.904 [4 per cell]
Ac5 0.000 0.457 0.242 [4 per cell]
P1 0.000 0.299 0.242 [4 per cell]
Au1 0.000 0.377 0.554 [4 per cell]
Au2 0.000 0.388 0.908 [4 per cell]
N1 0.000 0.058 0.650 [4 per cell]



Which value of E_form (uncorrected) does entry 5 give?
-0.532 eV per atom